No. 1
9
Lattice="7.4475 0.0000 0.0000 -3.7237 6.4497 0.0000 0.0000 0.0000 3.8640" Properties=species:S:1:pos:R:3 comment="Lu3In3Cu2Pd | OQMD via LeMat-Bulk | PBE | relaxed" vol_a3_per_cell=185.6 dft_energy_ev_per_cell=-39.1 density_g_cm3=9.867 space_group="P-62m (189)" pbc="T T T"
Lu -1.5088 2.6133 0.0000
Lu 3.0176 0.0000 0.0000
Lu 2.2149 3.8364 0.0000
In -2.7339 4.7352 1.9320
In 0.9898 1.7145 1.9320
In 5.4678 0.0000 1.9320
Cu 0.0000 4.2998 1.9320
Cu 3.7237 2.1499 1.9320
Pd 0.0000 0.0000 0.0000


No. 2
9
Lattice="7.5884 0.0000 0.0000 -3.7942 6.5717 0.0000 0.0000 0.0000 3.7577" Properties=species:S:1:pos:R:3 comment="Lu3In3CuPd2 | OQMD via LeMat-Bulk | PBE | relaxed" vol_a3_per_cell=187.4 dft_energy_ev_per_cell=-42.0 density_g_cm3=10.153 space_group="P-62m (189)" pbc="T T T"
Lu -1.5531 2.6900 0.0000
Lu 3.1062 0.0000 0.0000
Lu 2.2411 3.8817 0.0000
In -2.8295 4.9009 1.8789
In 0.9646 1.6708 1.8789
In 5.6591 0.0000 1.8789
Cu 0.0000 0.0000 0.0000
Pd 0.0000 4.3811 1.8789
Pd 3.7942 2.1906 1.8789